Compound: BIrOF2
Source: Alexandria via LeMat-Bulk
Functional: meta-GGA SCAN
Structure: single point on PBEsol structure

Computed properties:
Offset from the most stable computed form, eV/f.u.: 4.23
Calculated density, g/cm³: 6.30
ΔE_f (raw), eV/atom: 0.20

```
data_BIrOF2
_cell_length_a 4.300
_cell_length_b 4.300
_cell_length_c 3.665
_cell_angle_alpha 90.00
_cell_angle_beta 90.00
_cell_angle_gamma 90.00
_space_group_name_H-M_alt 'P 4/m m m'
_space_group_IT_number 123
_space_group_name_Hall '-P 4 2'
loop_
_atom_site_label
_atom_site_fract_x
_atom_site_fract_y
_atom_site_fract_z
_atom_site_occupancy
B1 0.000 0.000 0.000 1
Ir1 0.500 0.500 0.500 1
O1 0.500 0.500 0.000 1
F1 0.000 0.500 0.500 1
```

=====

Compound: BIr2PdF
Source: Alexandria via LeMat-Bulk
Functional: meta-GGA SCAN
Structure: single point on PBEsol structure

Computed properties:
Calculated density, g/cm³: 13.75
ΔE_f (raw), eV/atom: 0.36

```
data_BIr2PdF
_cell_length_a 4.107
_cell_length_b 4.107
_cell_length_c 3.728
_cell_angle_alpha 90.00
_cell_angle_beta 90.00
_cell_angle_gamma 90.00
_space_group_name_H-M_alt 'P 4/m m m'
_space_group_IT_number 123
_space_group_name_Hall '-P 4 2'
loop_
_atom_site_label
_atom_site_fract_x
_atom_site_fract_y
_atom_site_fract_z
_atom_site_occupancy
B1 0.000 0.000 0.000 1
Ir1 0.000 0.500 0.000 1
Pd1 0.500 0.500 0.500 1
F1 0.000 0.000 0.500 1
```

=====

Compound: KBSb2F
Source: Alexandria via LeMat-Bulk
Functional: meta-GGA SCAN
Structure: single point on PBEsol structure

Computed properties:
Calculated density, g/cm³: 3.58
ΔE_f (raw), eV/atom: 1.20

```
data_KBSb2F
_cell_length_a 5.840
_cell_length_b 5.840
_cell_length_c 4.245
_cell_angle_alpha 90.00
_cell_angle_beta 90.00
_cell_angle_gamma 90.00
_space_group_name_H-M_alt 'P 4/m m m'
_space_group_IT_number 123
_space_group_name_Hall '-P 4 2'
loop_
_atom_site_label
_atom_site_fract_x
_atom_site_fract_y
_atom_site_fract_z
_atom_site_occupancy
K1 0.000 0.000 0.000 1
B1 0.500 0.500 0.500 1
Sb1 0.000 0.500 0.000 1
F1 0.000 0.000 0.500 1
```

=====

Question: The highest ΔE_f (raw) belongs to which entry?
Answer: KBSb2F

=====

Question: Which formula does entry 1 have?
Answer: BIrOF2